Material: ScMnN2
Method: DFT, PBE
State: optimized geometry

a = 2.9977 Å, b = 2.9977 Å, c = 15.3259 Å
α = 90.00°, β = 90.00°, γ = 120.00°
Closest atoms and distances in Å follow each position.
Space group R3m (No. 160, hexagonal axes)
Symmetry-distinct sites (fractional):
Sc 0.0000 0.0000 0.0000  6 N 2.18-2.21
Mn 0.0000 0.0000 0.8247  6 N 2.05-2.17
N 0.0000 0.0000 0.4197  3 Mn 2.05, 3 Sc 2.18
N 0.0000 0.0000 0.5771  3 Mn 2.17, 3 Sc 2.21, 1 N 2.41

Summary:
Total magnetization ... 6.04 μB per cell
Crystal system ... trigonal
DFT total energy ... -105.7 eV for the cell shown
Formation energy (no corrections) ... -0.773 eV per atom